Entry 1:
Computed, not measured: an optimized crystal structure of InSnSb2 at the GGA-PBE level of DFT.

Output
- crystal system = trigonal
- space group = R3m (160)
- Fermi-level density of states (states/eV per cell) = 1.97
- formation energy without anion corrections (eV per atom) = 0.046
- total DFT energy (no corrections) (eV per atom) = -3.700

a = 8.0012 Å, b = 8.0012 Å, c = 8.0012 Å
α = 30.68°, β = 30.68°, γ = 30.68°
Fractional coordinates of all 4 atoms:
In 0.0000 0.0000 0.0000
Sn 0.1681 0.1681 0.1681
Sb 0.5826 0.5826 0.5826
Sb 0.7519 0.7519 0.7519

---

Entry 2:
Computed, not measured: an optimized crystal structure of InSn2Sb at the GGA-PBE level of DFT.

Output
- crystal system = tetragonal
- space group = P4/mmm (123)
- Fermi-level density of states (states/eV per cell) = 2.60
- formation energy without anion corrections (eV per atom) = 0.071
- total DFT energy (no corrections) (eV per atom) = -3.646

a = 3.9617 Å, b = 3.9617 Å, c = 7.1994 Å
α = 90.00°, β = 90.00°, γ = 90.00°
Fractional coordinates of all 4 atoms:
In 0.0000 0.0000 0.0000
Sn 0.5000 0.5000 0.2724
Sn 0.5000 0.5000 0.7276
Sb 0.0000 0.0000 0.5000

---

Entry 3:
Computed, not measured: an optimized crystal structure of InSn4Sb5 at the GGA-PBE level of DFT.

Output
- crystal system = trigonal
- space group = R3m (160)
- Fermi-level density of states (states/eV per cell) = 1.30
- formation energy without anion corrections (eV per atom) = 0.071
- total DFT energy (no corrections) (eV per atom) = -3.865

a = 23.3224 Å, b = 23.3224 Å, c = 23.3224 Å
α = 11.10°, β = 11.10°, γ = 11.10°
Fractional coordinates of all 10 atoms:
In 0.0000 0.0000 0.0000
Sn 0.1957 0.1957 0.1957
Sn 0.3899 0.3899 0.3899
Sn 0.6060 0.6060 0.6060
Sn 0.8014 0.8014 0.8014
Sb 0.1545 0.1545 0.1545
Sb 0.3489 0.3489 0.3489
Sb 0.5476 0.5476 0.5476
Sb 0.7418 0.7418 0.7418
Sb 0.9592 0.9592 0.9592

---

Entry 4:
Computed, not measured: an optimized crystal structure of InSn2Sb2 at the GGA-PBE level of DFT.

Output
- crystal system = tetragonal
- space group = I4/mmm (139)
- Fermi-level density of states (states/eV per cell) = 3.07
- formation energy without anion corrections (eV per atom) = 0.144
- total DFT energy (no corrections) (eV per atom) = -3.654

a = 8.1588 Å, b = 8.1588 Å, c = 8.1588 Å
α = 147.42°, β = 147.42°, γ = 46.74°
Fractional coordinates of all 5 atoms:
In 0.0000 0.0000 0.0000
Sn 0.2500 0.7500 0.5000
Sn 0.7500 0.2500 0.5000
Sb 0.3992 0.3992 0.0000
Sb 0.6008 0.6008 0.0000

---

no.,magnetization (μB/f.u.)
1,0.0
2,0.0
3,0.0
4,0.0